[1]
Compound: YMn2In
Source: Alexandria via LeMat-Bulk
Functional: PBE-GGA
Structure: optimized geometry

POSCAR file:
```
YMn2In
1.0
-2.8134 -1.4231 -1.5073
0.7916 -3.0056 1.3600
-2.9154 -1.4758 6.8350
In Mn Y
1 2 1
direct
0.5000 0.7500 0.7500
0.0000 0.0290 0.9711
0.0000 0.4710 0.5289
0.5000 0.2500 0.2500
```

Computed properties:
energy	-6.69	eV/atom

=====

[2]
Compound: YMnIn2
Source: Alexandria via LeMat-Bulk
Functional: PBE-GGA
Structure: optimized geometry

POSCAR file:
```
YMnIn2
1.0
-0.9567 4.9266 -8.5950
-1.6883 1.7828 -9.6453
-4.1117 3.7184 -8.2661
In Mn Y
2 1 1
direct
0.9977 0.9977 0.9977
0.2436 0.2436 0.2436
0.5015 0.5015 0.5015
0.7572 0.7572 0.7572
```

Computed properties:
energy	-5.11	eV/atom

=====

[3]
Compound: YMn2In
Source: Alexandria via LeMat-Bulk
Functional: PBE-GGA
Structure: optimized geometry

POSCAR file:
```
YMn2In
1.0
4.5303 0.0000 0.0000
0.0000 3.1965 0.0074
0.0000 1.5788 5.5131
Mn In Y
2 1 1
direct
0.5000 0.0665 0.2418
0.0000 0.1882 0.9984
0.5000 0.7865 0.8020
0.0000 0.4588 0.4577
```

Computed properties:
energy	-6.70	eV/atom

=====

[4]
Compound: YMn2In2
Source: Alexandria via LeMat-Bulk
Functional: PBE-GGA
Structure: optimized geometry

POSCAR file:
```
YMn2In2
1.0
4.3867 0.0000 0.0000
0.0000 4.3867 0.0000
2.1933 2.1933 5.2607
Mn In Y
2 2 1
direct
0.4071 0.4071 0.1858
0.5929 0.5929 0.8142
0.7500 0.2500 0.5000
0.2500 0.7500 0.5000
0.0000 0.0000 0.0000
```

Computed properties:
relative energy among the computed polymorphs	0.012	eV/atom

=====

[5]
Compound: YMnIn2
Source: Alexandria via LeMat-Bulk
Functional: PBE-GGA
Structure: optimized geometry

POSCAR file:
```
YMnIn2
1.0
4.7523 0.0000 0.0000
0.0000 3.3344 -0.0689
0.0000 1.0223 5.9462
Mn In Y
1 2 1
direct
0.5000 0.2500 0.2500
0.0000 0.3624 0.4856
0.0000 0.1376 0.0144
0.5000 0.7500 0.7500
```

Computed properties:
energy	-5.31	eV/atom

=====

[6]
Compound: YMn2In
Source: Alexandria via LeMat-Bulk
Functional: PBE-GGA
Structure: optimized geometry

POSCAR file:
```
YMn2In
1.0
4.8866 0.0000 0.0000
2.4433 4.2319 0.0000
2.4433 1.4106 3.9899
In Mn Y
1 2 1
direct
0.5000 0.5000 0.5000
0.2500 0.2500 0.2500
0.0000 0.0000 0.0000
0.7500 0.7500 0.7500
```

Computed properties:
energy	-6.69	eV/atom

=====

[7]
Compound: YMn2In
Source: Alexandria via LeMat-Bulk
Functional: PBE-GGA
Structure: optimized geometry

POSCAR file:
```
YMn2In
1.0
-3.1250 1.8723 -3.9464
1.9791 -1.0220 -4.8871
-0.8995 -3.0053 4.3594
Mn Y In
2 1 1
direct
0.7502 0.2502 0.5000
0.9997 0.9997 0.0000
0.5001 0.5001 0.0000
0.2501 0.7501 0.5000
```

Computed properties:
energy	-6.74	eV/atom

=====

[8]
Compound: YMn2In
Source: Alexandria via LeMat-Bulk
Functional: PBE-GGA
Structure: optimized geometry

POSCAR file:
```
YMn2In
1.0
-8.8277 -0.9757 3.6200
-7.1016 -1.1802 6.3371
-7.9071 1.7095 5.1517
Y In Mn
1 1 2
direct
0.2500 0.2500 0.2500
0.7500 0.7500 0.7500
0.0028 0.0028 0.0028
0.4972 0.4972 0.4972
```

Computed properties:
energy	-6.45	eV/atom

=====

[9]
Compound: YMnIn2
Source: Alexandria via LeMat-Bulk
Functional: PBE-GGA
Structure: optimized geometry

POSCAR file:
```
YMnIn2
1.0
-1.0100 1.8224 4.3487
2.3032 -2.0516 1.3947
4.1479 4.1262 -0.7657
Mn In Y
1 2 1
direct
0.0000 0.2513 0.5103
0.5000 0.2491 0.2675
0.0000 0.2495 0.9831
0.5000 0.7500 0.7391
```

Computed properties:
energy	-5.29	eV/atom

=====

[10]
Compound: YMnIn2
Source: Alexandria via LeMat-Bulk
Functional: PBE-GGA
Structure: optimized geometry

POSCAR file:
```
YMnIn2
1.0
3.3522 0.0000 0.0000
0.0000 3.3522 0.0000
0.0000 0.0000 7.8896
Y Mn In
1 1 2
direct
0.5000 0.5000 0.7500
0.5000 0.5000 0.2500
0.0000 0.0000 0.0360
0.0000 0.0000 0.4640
```

Computed properties:
energy	-5.39	eV/atom

=====

[11]
Compound: Y4MnIn
Source: Alexandria via LeMat-Bulk
Functional: PBE-GGA
Structure: optimized geometry

POSCAR file:
```
Y4MnIn
1.0
-4.5216 3.6636 1.4706
-3.4536 -4.1233 -5.7999
0.5828 -4.1602 6.7024
Y In Mn
8 2 2
direct
0.4519 0.7258 0.0604
0.9519 0.0604 0.7258
0.3809 0.7936 0.6369
0.8809 0.6369 0.7936
0.1191 0.3631 0.2064
0.5481 0.2742 0.9396
0.0481 0.9396 0.2742
0.6191 0.2064 0.3631
0.2500 0.3741 0.6259
0.7500 0.6259 0.3741
0.2500 0.9993 0.0007
0.7500 0.0007 0.9993
```

Computed properties:
relative energy among the computed polymorphs	0.000	eV/atom

=====

[12]
Compound: YMnIn2
Source: Alexandria via LeMat-Bulk
Functional: PBE-GGA
Structure: optimized geometry

POSCAR file:
```
YMnIn2
1.0
-6.7338 5.5650 4.2722
-6.9163 2.7878 6.2416
-4.5549 5.1671 6.8643
In Y Mn
2 1 1
direct
0.5092 0.5092 0.5092
0.9908 0.9908 0.9908
0.7500 0.7500 0.7500
0.2500 0.2500 0.2500
```

Computed properties:
energy	-5.22	eV/atom

=====

[13]
Compound: YMn2In
Source: Alexandria via LeMat-Bulk
Functional: PBE-GGA
Structure: optimized geometry

POSCAR file:
```
YMn2In
1.0
-4.7807 -0.3558 4.9193
-3.7546 -3.9066 4.2216
-1.6311 -1.7371 6.4423
Y Mn In
1 2 1
direct
0.5201 0.5201 0.5201
0.2918 0.2918 0.2918
0.9650 0.9650 0.9650
0.7231 0.7231 0.7231
```

Computed properties:
energy	-6.85	eV/atom

=====

[14]
Compound: YMnIn2
Source: Alexandria via LeMat-Bulk
Functional: PBE-GGA
Structure: optimized geometry

POSCAR file:
```
YMnIn2
1.0
-2.0889 1.1192 2.6099
-2.7963 -0.2461 -2.1326
-1.0564 -7.1176 2.2067
Y In Mn
1 2 1
direct
0.5000 0.5000 0.7227
0.0000 0.0000 0.0204
0.5000 0.5000 0.2803
0.0000 0.0000 0.4767
```

Computed properties:
energy	-5.29	eV/atom

=====

Let's list total magnetic moment in order: 6.32 3.34 6.10 2.69 3.52 7.67 6.10 6.88 3.57 4.01 1.52 3.53 0.00 3.40 Bohr magnetons per cell.